Below is a geometry-optimized KCeTl2F6 structure, with properties calculated at the PBE level.

Calculated volume ... 21.701 Å³ per atom
Uncorrected formation energy ... -2859 meV/atom
Total magnetization ... 0.893 μB/f.u.

abc: 6.8355 6.7311 6.6937
angles: 120.18 120.05 90.00
Last column: nearest neighbours and their distance in Å.
Sites, in units of the cell vectors:
F1 0.1533 0.6661 0.8587  1 Ce 2.30
F2 0.1533 0.1926 0.8587  1 Ce 2.30
F3 0.8467 0.8074 0.1413  1 Ce 2.30
F4 0.8467 0.3339 0.1413  1 Ce 2.30
F5 0.3396 0.7254 0.4509  1 Ce 2.28
F6 0.6604 0.2746 0.5491  1 Ce 2.28
Tl1 0.2246 0.2488 0.4975  5 F 2.81-2.89
Tl2 0.7754 0.7512 0.5025  5 F 2.81-2.89
Ce1 0.0000 0.5000 0.0000  6 F 2.28-2.30
K1 0.5000 0.0000 0.0000  6 F 2.68-2.69